Density functional theory data (PBE) for a relaxed NaAlP2 crystal.

Summary:
* space group: No. 122
* uncorrected energy: -4.05 eV/atom

a = 5.2269 Å, b = 5.2269 Å, c = 8.1933 Å
α = 71.40°, β = 71.40°, γ = 90.00°
Sites, in units of the cell vectors:
1 P 0.7939 0.1250 0.2500
2 P 0.9561 0.6250 0.2500
3 P 0.3750 0.2061 0.7500
4 P 0.8750 0.0439 0.7500
5 Al 0.0000 0.0000 0.0000
6 Al 0.7500 0.2500 0.5000
7 Na 0.5000 0.5000 0.0000
8 Na 0.2500 0.7500 0.5000

***

Density functional theory data (PBE) for a relaxed Na3AlP crystal.

Summary:
* space group: No. 221
* distance to the lowest polymorph of the same formula: 0.0 meV per atom
* uncorrected energy: -2.39 eV/atom

a = 5.3991 Å, b = 5.3991 Å, c = 5.3991 Å
α = 90.00°, β = 90.00°, γ = 90.00°
Sites, in units of the cell vectors:
1 P 0.0000 0.0000 0.0000
2 Al 0.5000 0.5000 0.5000
3 Na 0.0000 0.5000 0.0000
4 Na 0.0000 0.0000 0.5000
5 Na 0.5000 0.0000 0.0000

***

Density functional theory data (PBE) for a relaxed NaAlPPb2 crystal.

Summary:
* space group: No. 123
* uncorrected energy: -3.32 eV/atom

a = 5.6097 Å, b = 4.6691 Å, c = 5.6097 Å
α = 90.00°, β = 90.00°, γ = 90.00°
Sites, in units of the cell vectors:
1 Pb 0.0000 0.0000 0.5000
2 Pb 0.5000 0.0000 0.0000
3 P 0.0000 0.5000 0.0000
4 Al 0.0000 0.0000 0.0000
5 Na 0.5000 0.5000 0.5000

***

| no. | total magnetization (μB per cell) | E_form (eV/atom) |
| --- | --- | --- |
| 1 | 0.000 | -0.081 |
| 2 | 0.000 | 0.230 |
| 3 | 0.000 | 0.255 |